(1)
A plane-wave DFT calculation with PBE-GGA was carried out for an optimized crystal structure of CdReHg.

abc: 4.614 4.614 4.614
angles: 60.00 60.00 60.00
Site moments in Bohr magnetons follow the coordinates.
Fractional coordinates of all 3 atoms:
1 Hg 0.500 0.500 0.500  0.02
2 Re 0.750 0.750 0.750  2.07
3 Cd 0.000 0.000 0.000  0.01

- SG: F-43m, No. 216



(2)
A plane-wave DFT calculation with PBE-GGA was carried out for an optimized crystal structure of CdRe2Hg.

abc: 10.313 10.313 10.313
angles: 16.02 16.02 16.02
Fractional coordinates of all 4 atoms:
1 Re 0.258 0.258 0.258
2 Re 0.991 0.991 0.991
3 Hg 0.743 0.743 0.743
4 Cd 0.508 0.508 0.508

- SG: R3m, No. 160



(3)
A plane-wave DFT calculation with PBE-GGA was carried out for an optimized crystal structure of CdRe2Hg.

abc: 4.619 4.619 4.619
angles: 60.00 60.00 60.00
Fractional coordinates of all 4 atoms:
1 Cd 0.500 0.500 0.500
2 Hg 0.250 0.250 0.250
3 Re 0.750 0.750 0.750
4 Re 0.000 0.000 0.000

- SG: F-43m, No. 216



(4)
A plane-wave DFT calculation with PBE-GGA was carried out for an optimized crystal structure of CdReHg.

abc: 5.389 5.389 5.389
angles: 150.16 133.24 56.47
Fractional coordinates of all 3 atoms:
1 Cd 0.006 0.006 0.000
2 Re 0.665 0.665 0.000
3 Hg 0.330 0.330 0.000

- SG: Imm2, No. 44



One value per record, in order, for D(E_F): 2.15, 2.20, 1.77, 2.83 states/eV/f.u..
One value per record, in order, for energy relative to the elements: 1.23, 0.31, 0.89, 0.88 eV/atom.